# 1
The following is a DFT calculation (PBE) of a geometry-optimized HfGe3Pd structure.

Symmetry   Pm-3m (221)

abc: 4.7978 4.7978 4.7978
angles: 90.00 90.00 90.00
Positions (direct):
1 Ge 0.0000 0.5000 0.0000
2 Ge 0.0000 0.0000 0.5000
3 Ge 0.5000 0.0000 0.0000
4 Hf 0.5000 0.5000 0.5000
5 Pd 0.0000 0.0000 0.0000

---

# 2
The following is a DFT calculation (PBE) of a geometry-optimized Hf2Ge4Pd structure.

Symmetry   I4/mmm (139)

abc: 4.8258 4.8258 7.4555
angles: 71.12 71.12 90.00
Positions (direct):
1 Ge 0.1866 0.1866 0.6267
2 Ge 0.8134 0.8134 0.3733
3 Ge 0.0000 0.5000 0.0000
4 Ge 0.5000 0.0000 0.0000
5 Hf 0.3887 0.3887 0.2225
6 Hf 0.6113 0.6113 0.7775
7 Pd 0.0000 0.0000 0.0000

---

# 3
The following is a DFT calculation (PBE) of a geometry-optimized HfGe2Pd structure.

Symmetry   Fm-3m (225)

abc: 4.6135 4.6135 4.6135
angles: 60.00 60.00 60.00
Positions (direct):
1 Ge 0.2500 0.2500 0.2500
2 Ge 0.7500 0.7500 0.7500
3 Hf 0.5000 0.5000 0.5000
4 Pd 0.0000 0.0000 0.0000

---

# 4
The following is a DFT calculation (PBE) of a geometry-optimized HfGe2Pd structure.

Symmetry   I-42d (122)

abc: 4.1100 4.1100 9.5018
angles: 77.51 77.51 90.00
Positions (direct):
1 Ge 0.5947 0.1250 0.2500
2 Ge 0.1553 0.6250 0.2500
3 Ge 0.3750 0.4053 0.7500
4 Ge 0.8750 0.8447 0.7500
5 Hf 0.0000 0.0000 0.0000
6 Hf 0.7500 0.2500 0.5000
7 Pd 0.5000 0.5000 0.0000
8 Pd 0.2500 0.7500 0.5000

---

# 5
The following is a DFT calculation (PBE) of a geometry-optimized HfGePd6 structure.

Symmetry   Cmmm (65)
Energy above the lowest structure with this stoichiometry   0.000 eV/atom

abc: 3.9852 5.6184 5.6184
angles: 88.31 90.00 90.00
Positions (direct):
1 Hf 0.5000 0.0000 0.0000
2 Ge 0.5000 0.5000 0.5000
3 Pd 0.0000 0.7376 0.2624
4 Pd 0.0000 0.2624 0.7376
5 Pd 0.0000 0.7622 0.7622
6 Pd 0.0000 0.2378 0.2378
7 Pd 0.5000 0.5000 0.0000
8 Pd 0.5000 0.0000 0.5000

---

# 6
The following is a DFT calculation (PBE) of a geometry-optimized HfGePd3 structure.

Symmetry   P2_1/c (14)
Energy above the lowest structure with this stoichiometry   0.000 eV/atom

abc: 6.9385 7.1931 6.6599
angles: 95.92 90.00 90.00
Positions (direct):
1 Hf 0.8264 0.5554 0.3436
2 Hf 0.1736 0.4446 0.6564
3 Hf 0.3264 0.9446 0.1564
4 Hf 0.6736 0.0554 0.8436
5 Ge 0.3691 0.3160 0.9873
6 Ge 0.6309 0.6840 0.0127
7 Ge 0.8691 0.1840 0.5127
8 Ge 0.1309 0.8160 0.4873
9 Pd 0.1125 0.2898 0.2588
10 Pd 0.8875 0.7102 0.7412
11 Pd 0.6125 0.2102 0.2412
12 Pd 0.3875 0.7898 0.7588
13 Pd 0.4120 0.5759 0.3385
14 Pd 0.5880 0.4241 0.6615
15 Pd 0.9120 0.9241 0.1615
16 Pd 0.0880 0.0759 0.8385
17 Pd 0.6488 0.8809 0.4571
18 Pd 0.3512 0.1191 0.5429
19 Pd 0.1488 0.6191 0.0429
20 Pd 0.8512 0.3809 0.9571

---

# 7
The following is a DFT calculation (PBE) of a geometry-optimized PmHfGePd structure.

Symmetry   F-43m (216)

abc: 4.9265 4.9265 4.9265
angles: 60.00 60.00 60.00
Site moments in Bohr magnetons follow the coordinates.
Positions (direct):
1 Ge 0.2500 0.2500 0.2500  -0.02
2 Hf 0.5000 0.5000 0.5000  0.36
3 Pd 0.7500 0.7500 0.7500  0.10
4 Pm 0.0000 0.0000 0.0000  0.16

---

# 8
The following is a DFT calculation (PBE) of a geometry-optimized HfGePd2Ru structure.

Symmetry   P4/mmm (123)

abc: 4.5290 4.6066 4.5290
angles: 90.00 90.00 90.00
Positions (direct):
1 Ru 0.0000 0.5000 0.0000
2 Ge 0.0000 0.0000 0.0000
3 Hf 0.5000 0.5000 0.5000
4 Pd 0.0000 0.0000 0.5000
5 Pd 0.5000 0.0000 0.0000

---

# 9
The following is a DFT calculation (PBE) of a geometry-optimized HfTh2Ge4Pd3 structure.

Symmetry   P-4m2 (115)

abc: 4.3245 4.3245 10.7554
angles: 90.00 90.00 90.00
Positions (direct):
1 Hf 0.5000 0.5000 0.5000
2 Th 0.5000 0.0000 0.2349
3 Th 0.0000 0.5000 0.7651
4 Ge 0.5000 0.5000 0.0000
5 Ge 0.0000 0.0000 0.0000
6 Ge 0.5000 0.0000 0.6489
7 Ge 0.0000 0.5000 0.3511
8 Pd 0.0000 0.0000 0.5000
9 Pd 0.5000 0.0000 0.8795
10 Pd 0.0000 0.5000 0.1205

---

# 10
The following is a DFT calculation (PBE) of a geometry-optimized PmHfGe2 structure.

Symmetry   Pbcm (57)

abc: 5.7991 7.4103 8.6615
angles: 90.00 90.00 90.00
Positions (direct):
1 Pm 0.2500 0.4043 0.1276
2 Pm 0.2500 0.9043 0.8724
3 Pm 0.7500 0.0957 0.1276
4 Pm 0.7500 0.5957 0.8724
5 Hf 0.7500 0.0705 0.6196
6 Hf 0.2500 0.4295 0.6196
7 Hf 0.2500 0.9295 0.3804
8 Hf 0.7500 0.5705 0.3804
9 Ge 0.5000 0.7500 0.1507
10 Ge 0.0000 0.7500 0.1507
11 Ge 0.0000 0.2500 0.3967
12 Ge 0.0000 0.2500 0.8493
13 Ge 0.0000 0.7500 0.6033
14 Ge 0.5000 0.7500 0.6033
15 Ge 0.5000 0.2500 0.8493
16 Ge 0.5000 0.2500 0.3967

---

# 11
The following is a DFT calculation (PBE) of a geometry-optimized Pm2HfGe5 structure.

Symmetry   I4mm (107)

abc: 6.3796 6.3796 6.3104
angles: 120.37 120.38 89.96
Positions (direct):
1 Pm 0.2581 0.7582 0.5164
2 Pm 0.7582 0.2581 0.5164
3 Hf 0.0217 0.0217 0.0433
4 Ge 0.7083 0.2978 0.0062
5 Ge 0.2975 0.2975 0.0066
6 Ge 0.7092 0.7092 0.0067
7 Ge 0.2978 0.7083 0.0062
8 Ge 0.7262 0.7262 0.4522

---

# 12
The following is a DFT calculation (PBE) of a geometry-optimized Pm2Hf3Ge4 structure.

Symmetry   P2_1/c (14)

abc: 7.3065 7.4661 7.4599
angles: 90.00 90.00 109.70
Positions (direct):
1 Pm 0.5636 0.1876 0.3294
2 Pm 0.9364 0.8124 0.8294
3 Pm 0.4364 0.8124 0.6706
4 Pm 0.0636 0.1876 0.1706
5 Hf 0.0000 0.5000 0.5000
6 Hf 0.5000 0.5000 0.0000
7 Hf 0.7489 0.2533 0.8299
8 Hf 0.7511 0.7467 0.3299
9 Hf 0.2511 0.7467 0.1701
10 Hf 0.2489 0.2533 0.6701
11 Ge 0.8580 0.0874 0.5399
12 Ge 0.6420 0.9126 0.0399
13 Ge 0.1420 0.9126 0.4601
14 Ge 0.3580 0.0874 0.9601
15 Ge 0.8621 0.4927 0.1340
16 Ge 0.6379 0.5073 0.6340
17 Ge 0.1379 0.5073 0.8660
18 Ge 0.3621 0.4927 0.3660

---

| no. | VASP energy (hartree per atom) | ΔE_f (eV/atom) | N(E_F) (states/eV per cell) |
| --- | --- | --- | --- |
| 1 | -0.1942 | 0.514 | 6.630 |
| 2 | -0.2234 | 0.144 | 2.873 |
| 3 | -0.2331 | -0.247 | 4.431 |
| 4 | -0.2321 | -0.219 | 4.217 |
| 5 | -0.2324 | -0.609 | 1.694 |
| 6 | -0.2433 | -0.589 | 6.650 |
| 7 | -0.2436 | -0.499 | 3.461 |
| 8 | -0.2439 | 0.210 | 4.286 |
| 9 | -0.2438 | -0.751 | 4.494 |
| 10 | -0.2444 | -0.665 | 7.919 |
| 11 | -0.2132 | -0.484 | 4.410 |
| 12 | -0.2659 | -0.809 | 13.979 |